Density functional theory data (PBE) for a geometry-optimized Ba12Ag6N structure.

```
19
Lattice="7.278 4.202 4.615 -7.278 4.202 4.615 0.000 -8.404 4.615" Properties=species:S:1:pos:R:3 pbc="T T T"
Ba -6.595 -1.918 7.671
Ba -1.637 -6.671 6.174
Ba -2.943 -0.385 5.471
Ba -4.959 4.753 6.174
Ba -1.138 -2.742 8.374
Ba 1.805 -2.356 5.471
Ba -1.805 2.356 8.374
Ba 1.138 2.742 5.471
Ba 4.959 -4.753 7.671
Ba 2.943 0.385 8.374
Ba 1.637 6.671 7.671
Ba 6.595 1.918 6.174
Ag -1.225 -3.478 4.886
Ag -2.399 2.800 4.886
Ag -3.625 -0.678 8.959
Ag 3.625 0.678 4.886
Ag 2.399 -2.800 8.959
Ag 1.225 3.478 8.959
N 0.000 0.000 0.000
```

Calculated values
* calculated volume: 44.57 Å³/atom
* formation energy without anion corrections: -0.18 eV/atom
* size of the total moment: 0.00 μB/atom

Density functional theory data (PBE) for a geometry-optimized Tl2SiW structure.

```
4
Lattice="3.811 0.000 0.000 0.000 3.811 0.000 0.000 0.000 5.566" Properties=species:S:1:pos:R:3 pbc="T T T"
Tl 0.000 0.000 1.394
Tl 0.000 0.000 4.173
Si 1.905 1.905 0.000
W 1.905 1.905 2.783
```

Calculated values
* calculated volume: 20.21 Å³/atom
* formation energy without anion corrections: 1.03 eV/atom
* size of the total moment: 0.00 μB/atom
* polymorph energy (0 for the lowest one): 0.5661 eV/atom

Density functional theory data (PBE) for a geometry-optimized AlTl5Te4 structure.

```
20
Lattice="9.057 0.000 0.000 0.000 11.039 0.000 0.000 0.000 7.827" Properties=species:S:1:pos:R:3 pbc="T T T"
Al 2.264 2.760 1.138
Al 6.793 8.279 6.689
Tl 0.460 6.093 2.150
Tl 0.460 10.465 2.150
Tl 2.264 8.279 7.464
Tl 4.069 6.093 2.150
Tl 4.069 10.465 2.150
Tl 4.988 0.574 5.678
Tl 4.988 4.946 5.678
Tl 6.793 2.760 0.363
Tl 8.597 0.574 5.678
Tl 8.597 4.946 5.678
Te 0.074 2.760 2.619
Te 2.264 0.653 7.358
Te 2.264 4.867 7.358
Te 4.455 2.760 2.619
Te 4.602 8.279 5.208
Te 6.793 6.172 0.469
Te 6.793 10.386 0.469
Te 8.983 8.279 5.208
```

Calculated values
* calculated volume: 39.13 Å³/atom
* formation energy without anion corrections: -0.33 eV/atom
* size of the total moment: 0.00 μB/atom

Density functional theory data (PBE) for a geometry-optimized Na2Ga3SbAu12 structure.

```
18
Lattice="3.271 1.888 10.736 -3.271 1.888 10.736 0.000 -3.777 10.736" Properties=species:S:1:pos:R:3 pbc="T T T"
Na 0.000 0.000 4.402
Na 0.000 0.000 27.807
Ga -1.635 -0.944 10.736
Ga -1.635 0.944 21.473
Ga 0.000 1.888 10.736
Sb 0.000 0.000 16.104
Au -1.812 -1.046 14.360
Au 0.000 -2.162 9.166
Au -1.872 1.081 9.166
Au -1.872 -1.081 23.043
Au 0.000 -2.092 17.849
Au -1.812 1.046 17.849
Au 1.812 -1.046 14.360
Au 0.000 2.092 14.360
Au 1.872 1.081 9.166
Au 1.872 -1.081 23.043
Au 0.000 2.162 23.043
Au 1.812 1.046 17.849
```

Calculated values
* calculated volume: 22.10 Å³/atom
* formation energy without anion corrections: -0.06 eV/atom
* size of the total moment: 0.00 μB/atom

Density functional theory data (PBE) for a geometry-optimized ReTe2Os structure.

```
4
Lattice="-1.529 2.401 5.325 1.529 -2.401 5.325 1.529 2.401 -5.325" Properties=species:S:1:pos:R:3 pbc="T T T"
Re 0.000 0.000 0.000
Te 1.529 0.000 2.689
Te 0.000 0.000 5.886
Os 0.000 2.401 3.187
```

Calculated values
* calculated volume: 19.56 Å³/atom
* formation energy without anion corrections: 0.92 eV/atom
* size of the total moment: 0.00 μB/atom
* polymorph energy (0 for the lowest one): 0.5176 eV/atom

Density functional theory data (PBE) for a geometry-optimized MgMoPt structure.

```
6
Lattice="3.753 0.000 0.000 0.000 3.753 0.000 0.000 0.000 7.398" Properties=species:S:1:pos:R:3 pbc="T T T"
Mg 0.938 0.938 1.096
Mg 2.815 2.815 6.302
Mo 0.938 2.815 3.699
Mo 2.815 0.938 3.699
Pt 0.938 0.938 5.766
Pt 2.815 2.815 1.632
```

Calculated values
* energy of formation: -0.55 eV per formula unit
* calculated volume: 17.37 Å³/atom
* size of the total moment: 0.00 μB/atom
* polymorph energy (0 for the lowest one): 0.1557 eV/atom

Density functional theory data (PBE) for a geometry-optimized Cs3Er3ZrS8 structure.

```
15
Lattice="3.966 2.290 8.208 -3.966 2.290 8.208 0.000 -4.580 8.208" Properties=species:S:1:pos:R:3 pbc="T T T"
Cs -1.983 -1.145 8.208
Cs -1.983 1.145 16.416
Cs 0.000 2.290 8.208
Er -3.966 0.000 12.312
Er -1.983 1.145 4.104
Er 1.983 1.145 4.104
Zr 0.000 0.000 12.312
S 0.000 0.000 5.574
S -1.902 -1.098 13.749
S 0.000 -2.196 10.876
S -1.902 1.098 10.876
S 1.902 -1.098 13.749
S 0.000 2.196 13.749
S 1.902 1.098 10.876
S 0.000 0.000 19.051
```

Calculated values
* calculated volume: 29.82 Å³/atom
* formation energy without anion corrections: -1.80 eV/atom
* size of the total moment: 0.00 μB/atom

Density functional theory data (PBE) for a geometry-optimized TbPmGaHg structure.

```
4
Lattice="3.647 0.000 0.000 0.000 3.647 0.000 0.000 0.000 7.630" Properties=species:S:1:pos:R:3 pbc="T T T"
Tb 0.000 0.000 0.000
Pm 0.000 0.000 3.587
Ga 1.824 1.824 1.743
Hg 1.824 1.824 5.714
```

Calculated values
* energy of formation: -2.12 eV per formula unit
* calculated volume: 25.38 Å³/atom
* size of the total moment: 0.00 μB/atom
* polymorph energy (0 for the lowest one): 0.0000 eV/atom

Density functional theory data (PBE) for a geometry-optimized Al2ZnPd5Au2 structure.

```
20
Lattice="9.205 0.000 0.000 0.000 9.205 0.000 0.000 0.000 3.754" Properties=species:S:1:pos:R:3 pbc="T T T"
Al 1.202 3.401 0.000
Al 3.401 8.004 0.000
Al 5.804 1.202 0.000
Al 8.004 5.804 0.000
Zn 0.000 0.000 0.000
Zn 4.603 4.603 0.000
Pd 0.000 4.603 1.877
Pd 0.778 1.781 1.877
Pd 1.781 8.428 1.877
Pd 2.821 3.825 1.877
Pd 3.825 6.384 1.877
Pd 4.603 0.000 1.877
Pd 5.381 2.821 1.877
Pd 6.384 5.381 1.877
Pd 7.424 0.778 1.877
Pd 8.428 7.424 1.877
Au 1.533 6.135 0.000
Au 3.070 1.533 0.000
Au 6.135 7.673 0.000
Au 7.673 3.070 0.000
```

Calculated values
* energy of formation: -5.02 eV per formula unit
* calculated volume: 15.91 Å³/atom
* size of the total moment: 0.00 μB/atom

Density functional theory data (PBE) for a geometry-optimized Pr5Mg4Au structure.

```
10
Lattice="3.882 0.000 0.000 0.000 3.882 0.000 0.000 0.000 19.260" Properties=species:S:1:pos:R:3 pbc="T T T"
Pr 0.000 0.000 0.000
Pr 0.000 0.000 3.948
Pr 0.000 0.000 7.865
Pr 0.000 0.000 11.394
Pr 0.000 0.000 15.312
Mg 1.941 1.941 1.980
Mg 1.941 1.941 5.842
Mg 1.941 1.941 13.417
Mg 1.941 1.941 17.280
Au 1.941 1.941 9.630
```

Calculated values
* energy of formation: -2.41 eV per formula unit
* calculated volume: 29.03 Å³/atom
* size of the total moment: 0.00 μB/atom

Density functional theory data (PBE) for a geometry-optimized LaAlPd4 structure.

```
12
Lattice="7.840 0.000 0.000 0.000 3.975 0.000 0.000 0.000 7.095" Properties=species:S:1:pos:R:3 pbc="T T T"
La 1.960 0.000 1.055
La 5.880 0.000 6.040
Al 1.960 0.000 5.013
Al 5.880 0.000 2.082
Pd 0.000 0.000 3.547
Pd 0.444 1.988 5.711
Pd 1.960 1.988 3.266
Pd 3.476 1.988 5.711
Pd 3.920 0.000 3.547
Pd 4.364 1.988 1.384
Pd 5.880 1.988 3.829
Pd 7.396 1.988 1.384
```

Calculated values
* energy of formation: -4.63 eV per formula unit
* calculated volume: 18.43 Å³/atom
* size of the total moment: 0.00 μB/atom
* polymorph energy (0 for the lowest one): 0.0000 eV/atom

Density functional theory data (PBE) for a geometry-optimized Ta2NiI2 structure.

```
10
Lattice="7.963 0.000 0.000 0.000 7.963 0.000 0.000 0.000 3.240" Properties=species:S:1:pos:R:3 pbc="T T T"
Ta 1.229 2.752 0.000
Ta 2.752 6.734 0.000
Ta 5.210 1.229 0.000
Ta 6.734 5.210 0.000
Ni 0.000 0.000 1.620
Ni 3.981 3.981 1.620
I 1.177 5.159 1.620
I 2.804 1.177 1.620
I 5.159 6.786 1.620
I 6.786 2.804 1.620
```

Calculated values
* calculated volume: 20.54 Å³/atom
* formation energy without anion corrections: 1.28 eV/atom
* size of the total moment: 0.00 μB/atom
* polymorph energy (0 for the lowest one): 0.3599 eV/atom

Density functional theory data (PBE) for a geometry-optimized PmThPb structure.

```
6
Lattice="3.516 0.000 0.000 0.038 5.912 0.000 1.696 2.285 8.985" Properties=species:S:1:pos:R:3 pbc="T T T"
Pm 0.833 2.517 3.148
Pm 4.418 5.680 5.837
Th 0.942 4.475 0.107
Th 4.309 3.722 8.878
Pb 2.599 2.669 6.088
Pb 2.652 5.529 2.898
```

Calculated values
* energy of formation: -0.81 eV per formula unit
* calculated volume: 31.13 Å³/atom
* size of the total moment: 0.00 μB/atom
* polymorph energy (0 for the lowest one): 0.1081 eV/atom

Density functional theory data (PBE) for a geometry-optimized Fe8ReW3 structure.

```
12
Lattice="4.660 0.000 0.000 -2.330 4.036 0.000 0.000 0.000 7.756" Properties=species:S:1:pos:R:3 pbc="T T T"
Fe 0.000 0.000 0.000
Fe 0.000 0.000 3.880
Fe 0.000 1.373 1.938
Fe -1.141 3.349 1.938
Fe 1.190 0.687 5.809
Fe 1.141 3.349 1.938
Fe 3.470 0.687 5.809
Fe 2.330 2.661 5.809
Re 2.330 1.345 0.507
W 0.000 2.691 4.421
W 0.000 2.691 7.266
W 2.330 1.345 3.309
```

Calculated values
* energy of formation: -0.36 eV per formula unit
* calculated volume: 12.16 Å³/atom
* size of the total moment: 0.48 μB/atom

Density functional theory data (PBE) for a geometry-optimized TaTc2Ir structure.

```
4
Lattice="2.797 0.000 0.000 0.000 2.797 0.000 0.000 0.000 7.893" Properties=species:S:1:pos:R:3 pbc="T T T"
Ta 0.000 0.000 0.000
Tc 0.000 0.000 3.950
Tc 1.399 1.399 2.127
Ir 1.399 1.399 5.853
```

Calculated values
* energy of formation: -0.58 eV per formula unit
* calculated volume: 15.44 Å³/atom
* size of the total moment: 0.00 μB/atom
* polymorph energy (0 for the lowest one): 0.1176 eV/atom

Density functional theory data (PBE) for a geometry-optimized PrAlInPt3 structure.

```
12
Lattice="2.891 -8.330 0.000 2.891 8.330 0.000 0.000 0.000 5.736" Properties=species:S:1:pos:R:3 pbc="T T T"
Pr 2.891 4.828 4.302
Pr 2.891 -4.828 1.434
Al 2.891 6.905 1.434
Al 2.891 -6.905 4.302
In 2.891 1.777 1.434
In 2.891 -1.777 4.302
Pt 2.891 4.446 1.434
Pt 1.440 0.000 0.000
Pt 1.440 0.000 2.868
Pt 4.341 0.000 0.000
Pt 4.341 0.000 2.868
Pt 2.891 -4.446 4.302
```

Calculated values
* energy of formation: -4.30 eV per formula unit
* calculated volume: 23.02 Å³/atom
* size of the total moment: 0.00 μB/atom

Density functional theory data (PBE) for a geometry-optimized HoPu2Ru2 structure.

```
10
Lattice="7.330 -2.218 0.000 7.330 2.218 0.000 -3.935 0.000 6.965" Properties=species:S:1:pos:R:3 pbc="T T T"
Ho -0.498 0.000 2.657
Ho 11.224 0.000 4.308
Pu 2.893 0.000 1.899
Pu 5.842 0.000 0.315
Pu 4.884 0.000 6.650
Pu 7.833 0.000 5.065
Ru -0.804 0.000 5.891
Ru 2.017 0.000 4.518
Ru 8.709 0.000 2.447
Ru 11.530 0.000 1.074
```

Calculated values
* energy of formation: -0.77 eV per formula unit
* calculated volume: 22.65 Å³/atom
* size of the total moment: 1.86 μB/atom
* polymorph energy (0 for the lowest one): 0.0000 eV/atom

Density functional theory data (PBE) for a geometry-optimized Ca2CdCu structure.

```
4
Lattice="4.171 0.000 0.000 0.000 4.625 0.000 -2.074 0.000 5.672" Properties=species:S:1:pos:R:3 pbc="T T T"
Ca 0.000 0.000 0.000
Ca 0.004 2.313 3.285
Cd 2.087 2.313 0.891
Cu 2.092 0.000 2.404
```

Calculated values
* energy of formation: -0.77 eV per formula unit
* calculated volume: 27.36 Å³/atom
* size of the total moment: 0.00 μB/atom

Density functional theory data (PBE) for a geometry-optimized BiRh2Pb structure.

```
4
Lattice="3.377 0.000 0.000 0.000 3.377 0.000 0.000 0.000 6.936" Properties=species:S:1:pos:R:3 pbc="T T T"
Bi 0.000 0.000 0.000
Rh 1.688 1.688 1.891
Rh 1.688 1.688 5.044
Pb 0.000 0.000 3.468
```

Calculated values
* energy of formation: 0.29 eV per formula unit
* calculated volume: 19.77 Å³/atom
* size of the total moment: 0.00 μB/atom

Density functional theory data (PBE) for a geometry-optimized Pr3NdSm4 structure.

```
16
Lattice="10.384 0.000 0.000 0.000 7.329 0.000 0.000 0.000 7.331" Properties=species:S:1:pos:R:3 pbc="T T T"
Pr 0.000 0.000 0.000
Pr 2.596 1.836 1.833
Pr 2.596 5.493 5.498
Pr 5.192 0.000 3.666
Pr 7.788 1.836 1.833
Pr 7.788 5.493 5.498
Nd 0.000 3.665 3.666
Nd 5.192 3.665 0.000
Sm 0.000 0.000 3.666
Sm 0.000 3.665 0.000
Sm 2.596 1.836 5.498
Sm 2.596 5.493 1.833
Sm 5.192 0.000 0.000
Sm 5.192 3.665 3.666
Sm 7.788 1.836 5.498
Sm 7.788 5.493 1.833
```

Calculated values
* energy of formation: 0.12 eV per formula unit
* calculated volume: 34.87 Å³/atom
* size of the total moment: 0.00 μB/atom
* polymorph energy (0 for the lowest one): 0.0000 eV/atom